Compound: TbPr5Sm2Tm
Source: Alexandria
Functional: PBE-GGA
Structure: optimized geometry

a = 8.6332 Å, b = 8.6332 Å, c = 16.9877 Å
α = 90.00°, β = 90.00°, γ = 90.00°
Last column: nearest neighbours and their distance in Å.
Space group I4/mcm (No. 140)
Unique sites:
Tb1 0.0000 0.0000 0.2500 x4  8 Pr 3.58
Pr1 0.0000 0.0000 0.0000 x4  4 Sm 3.43
Pr2 0.2172 0.2828 0.1429 x16  1 Sm 3.12, 1 Tm 3.22
Sm1 0.1221 0.3779 0.5000 x8  1 Sm 2.98, 2 Pr 3.12
Tm1 0.0000 0.5000 0.2500 x4  4 Pr 3.22

Results
- DFT formation energy (eV/f.u.) = 2.58
- DOS(E_F) (states/eV per cell) = 56.25
- spin magnetization (μB/f.u.) = 0.0
- calculated volume (A^3/atom) = 35.2

=====

Compound: RbAl2MoPb
Source: Alexandria
Functional: PBE-GGA
Structure: optimized geometry

a = 5.6809 Å, b = 5.6809 Å, c = 5.6262 Å
α = 90.00°, β = 90.00°, γ = 90.00°
Last column: nearest neighbours and their distance in Å.
Space group P4/mmm (No. 123)
Unique sites:
Rb1 0.0000 0.0000 0.0000 x1  2 Mo 2.81, 4 Al 2.84
Al1 0.0000 0.5000 0.0000 x2  2 Rb 2.84
Mo1 0.0000 0.0000 0.5000 x1  2 Rb 2.81
Pb1 0.5000 0.5000 0.5000 x1  8 Al 4.00, 4 Mo 4.02

Results
- DFT formation energy (eV/f.u.) = 10.77
- DOS(E_F) (states/eV per cell) = 3.67
- spin magnetization (μB/f.u.) = 4.3
- calculated volume (A^3/atom) = 36.3

=====

Compound: Tb6Nd5Ho
Source: Alexandria
Functional: PBE-GGA
Structure: optimized geometry

a = 5.1061 Å, b = 10.1743 Å, c = 15.3281 Å
α = 90.00°, β = 90.00°, γ = 90.00°
Last column: nearest neighbours and their distance in Å.
Space group Immm (No. 71)
Unique sites:
Tb1 0.0000 0.2481 0.0000 x4  6 Nd 3.58-3.62, 2 Ho 3.59, 4 Tb 3.61
Tb2 0.0000 0.2511 0.3338 x8  1 Ho 3.59, 7 Nd 3.60-3.63, 4 Tb 3.61-3.62
Nd1 0.0000 0.0000 0.1654 x4  8 Tb 3.58-3.63, 2 Ho 3.60, 2 Nd 3.63
Nd2 0.0000 0.0000 0.5000 x2  8 Tb 3.61-3.62, 4 Nd 3.61
Nd3 0.0000 0.5000 0.1666 x4  8 Tb 3.60-3.62, 4 Nd 3.61-3.63
Ho1 0.0000 0.5000 0.5000 x2  8 Tb 3.59, 4 Nd 3.60

Results
- ΔE to the lowest computed polymorph (meV per atom) = 5
- DFT formation energy (eV/f.u.) = 0.21
- DOS(E_F) (states/eV per cell) = 34.27
- spin magnetization (μB/f.u.) = 0.0
- calculated volume (A^3/atom) = 33.2

=====

Compound: Ti2AlIr
Source: Alexandria
Functional: PBE-GGA
Structure: optimized geometry

a = 3.2780 Å, b = 3.2780 Å, c = 5.7981 Å
α = 90.00°, β = 90.00°, γ = 90.00°
Last column: nearest neighbours and their distance in Å.
Space group P4/mmm (No. 123)
Unique sites:
Ti1 0.0000 0.0000 0.2419 x2  4 Ir 2.71, 4 Al 2.76, 2 Ti 2.81-2.99
Al1 0.5000 0.5000 0.5000 x1  8 Ti 2.76, 2 Ir 2.90
Ir1 0.5000 0.5000 0.0000 x1  8 Ti 2.71, 2 Al 2.90

Results
- DFT formation energy (eV/f.u.) = -2.29
- DOS(E_F) (states/eV per cell) = 4.23
- spin magnetization (μB/f.u.) = 0.0
- calculated volume (A^3/atom) = 15.6

=====

Compound: Pr2TmTiO6
Source: Alexandria
Functional: PBE-GGA
Structure: optimized geometry

a = 5.6809 Å, b = 5.9303 Å, c = 9.8041 Å
α = 90.00°, β = 124.25°, γ = 90.00°
Last column: nearest neighbours and their distance in Å.
Space group P2_1/c (No. 14)
Unique sites:
Pr1 0.2299 0.0613 0.2486 x4  5 O 2.38-2.63
Tm1 0.5000 0.0000 0.0000 x2  6 O 2.21-2.22
Ti1 0.0000 0.0000 0.5000 x2  6 O 2.06-2.11
O1 0.1286 0.2053 0.9390 x4  1 Ti 2.11, 1 Tm 2.21
O2 0.2389 0.6920 0.9449 x4  1 Ti 2.06, 1 Tm 2.22
O3 0.3510 0.0390 0.7378 x4  1 Ti 2.06, 1 Tm 2.22

Results
- raw formation energy (eV per atom) = -3.263
- DOS(E_F) (states/eV per cell) = 5.59
- spin magnetization (μB/f.u.) = 1.0
- calculated volume (A^3/atom) = 13.7

=====

Compound: GaBr3
Source: Alexandria
Functional: PBE-GGA
Structure: optimized geometry

a = 9.4522 Å, b = 6.2400 Å, c = 11.6997 Å
α = 90.00°, β = 108.51°, γ = 90.00°
Last column: nearest neighbours and their distance in Å.
Space group P2_1/c (No. 14)
Unique sites:
Ga1 0.1922 0.0093 0.0495 x4  4 Br 2.29-2.50
Br1 0.0050 0.7089 0.3945 x4  2 Ga 2.50
Br2 0.3122 0.2352 0.9566 x4  1 Ga 2.29
Br3 0.3221 0.7054 0.7065 x4  1 Ga 2.29

Results
- raw formation energy (eV per atom) = -0.806
- DOS(E_F) (states/eV per cell) = 0.00
- spin magnetization (μB/f.u.) = 0.0
- calculated volume (A^3/atom) = 40.9

=====

Compound: Pm12TmPb6
Source: Alexandria
Functional: PBE-GGA
Structure: optimized geometry

a = 11.7400 Å, b = 11.7400 Å, c = 15.0865 Å
α = 90.00°, β = 90.00°, γ = 120.00°
Last column: nearest neighbours and their distance in Å.
Space group R-3 (No. 148, hexagonal axes)
Unique sites:
Pm1 0.0663 0.8490 0.4080 x18  4 Pb 3.29-3.59, 4 Pm 3.41-3.58
Pm2 0.0747 0.1901 0.7991 x18  4 Pm 3.13-3.46, 2 Pb 3.30-3.41
Tm1 0.0000 0.0000 0.0000 x3  6 Pb 3.32, 6 Pm 3.60
Pb1 0.0304 0.4397 0.7243 x18  7 Pm 3.29-3.59, 1 Tm 3.32, 2 Pb 3.65

Results
- DFT formation energy (eV/f.u.) = -5.17
- DOS(E_F) (states/eV per cell) = 54.27
- spin magnetization (μB/f.u.) = 0.0
- calculated volume (A^3/atom) = 31.6

=====

Compound: Pr6Te3IrSe2
Source: Alexandria
Functional: PBE-GGA
Structure: optimized geometry

a = 7.6240 Å, b = 13.1614 Å, c = 7.7408 Å
α = 90.00°, β = 109.17°, γ = 90.00°
Last column: nearest neighbours and their distance in Å.
Space group C2/m (No. 12)
Unique sites:
Pr1 0.2296 0.1576 0.2191 x8  1 Ir 2.88, 2 Se 3.07, 2 Te 3.21-3.22
Pr2 0.2412 0.0000 0.7743 x4  1 Ir 2.92, 2 Se 3.07, 2 Te 3.25
Te1 0.0000 0.1741 0.5000 x4  6 Pr 3.22-3.31
Te2 0.0000 0.5000 0.5000 x2  6 Pr 3.21-3.34
Ir1 0.0000 0.0000 0.0000 x2  6 Pr 2.88-2.92
Se1 0.0000 0.3346 0.0000 x4  6 Pr 3.07

Results
- raw formation energy (eV per atom) = -1.471
- DOS(E_F) (states/eV per cell) = 18.99
- spin magnetization (μB/f.u.) = 0.0
- calculated volume (A^3/atom) = 30.6

=====

Number 1: uncorrected energy -4.43 eV/atom. Number 2: uncorrected energy -2.44 eV/atom. Number 3: uncorrected energy -4.67 eV/atom. Number 4: uncorrected energy -7.67 eV/atom. Number 5: uncorrected energy -8.43 eV/atom. Number 6: uncorrected energy -2.82 eV/atom. Number 7: uncorrected energy -4.68 eV/atom. Number 8: uncorrected energy -5.97 eV/atom.